Entry from the Alexandria database: a geometry-optimized Li6Nd2Pt3 structure (PBE).

The structure in CIF format:
```
data_Li6Nd2Pt3
_cell_length_a 7.7821
_cell_length_b 7.7821
_cell_length_c 3.9908
_cell_angle_alpha 90.00
_cell_angle_beta 90.00
_cell_angle_gamma 120.00
_symmetry_space_group_name_H-M 'P -6 2 m'
_symmetry_Int_Tables_number 189
_symmetry_space_group_name_Hall 'P -6 -2'
loop_
_atom_site_label
_atom_site_fract_x
_atom_site_fract_y
_atom_site_fract_z
Li1 0.0000 0.2070 0.0000
Li2 0.0000 0.7404 0.5000
Nd1 0.3333 0.6667 0.0000
Pt1 0.0000 0.4054 0.5000
```

calculated formation energy	-536	meV per atom

***

Entry from the Alexandria database: a geometry-optimized PmSm4Y2 structure (PBE).

The structure in CIF format:
```
data_PmSm4Y2
_cell_length_a 3.5792
_cell_length_b 5.7871
_cell_length_c 23.0452
_cell_angle_alpha 90.00
_cell_angle_beta 90.00
_cell_angle_gamma 90.00
_symmetry_space_group_name_H-M 'I m m m'
_symmetry_Int_Tables_number 71
_symmetry_space_group_name_Hall '-I 2 2'
loop_
_atom_site_label
_atom_site_fract_x
_atom_site_fract_y
_atom_site_fract_z
Pm1 0.0000 0.0000 0.0000
Sm1 0.0000 0.5000 0.0872
Sm2 0.0000 0.5000 0.3629
Y1 0.0000 0.0000 0.2749
```

calculated formation energy	84	meV per atom
ΔE to the lowest computed polymorph	0.0000	eV/atom

***

Entry from the Alexandria database: a geometry-optimized Zr2Sn2H structure (PBE).

The structure in CIF format:
```
data_Zr2Sn2H
_cell_length_a 6.3267
_cell_length_b 6.3267
_cell_length_c 4.9503
_cell_angle_alpha 90.00
_cell_angle_beta 90.00
_cell_angle_gamma 90.00
_symmetry_space_group_name_H-M 'P 4/m b m'
_symmetry_Int_Tables_number 127
_symmetry_space_group_name_Hall '-P 4 2ab'
loop_
_atom_site_label
_atom_site_fract_x
_atom_site_fract_y
_atom_site_fract_z
Zr1 0.1639 0.3361 0.0000
Sn1 0.1634 0.6634 0.5000
H1 0.0000 0.0000 0.0000
```

ΔE to the lowest computed polymorph	0.0989	eV/atom

***

Entry from the Alexandria database: a geometry-optimized AcCdPd4Pb2 structure (PBE).

The structure in CIF format:
```
data_AcCdPd4Pb2
_cell_length_a 4.7119
_cell_length_b 4.7119
_cell_length_c 27.5314
_cell_angle_alpha 90.00
_cell_angle_beta 90.00
_cell_angle_gamma 120.00
_symmetry_space_group_name_H-M 'R -3 m'
_symmetry_Int_Tables_number 166
_symmetry_space_group_name_Hall '-R 3 2"'
loop_
_atom_site_label
_atom_site_fract_x
_atom_site_fract_y
_atom_site_fract_z
Ac1 0.0000 0.0000 0.0000
Cd1 0.0000 0.0000 0.5000
Pd1 0.0000 0.0000 0.1348
Pd2 0.0000 0.0000 0.3979
Pb1 0.0000 0.0000 0.2417
```

calculated formation energy	-441	meV per atom

***

Entry from the Alexandria database: a geometry-optimized Be2HgP structure (PBE).

The structure in CIF format:
```
data_Be2HgP
_cell_length_a 7.1653
_cell_length_b 3.4181
_cell_length_c 5.6135
_cell_angle_alpha 90.00
_cell_angle_beta 102.63
_cell_angle_gamma 90.00
_symmetry_space_group_name_H-M 'C 1 m 1'
_symmetry_Int_Tables_number 8
loop_
_symmetry_equiv_pos_as_xyz
'x,y,z'
'x,-y,z'
'x+1/2,y+1/2,z'
'x+1/2,-y+1/2,z'
loop_
_atom_site_label
_atom_site_fract_x
_atom_site_fract_y
_atom_site_fract_z
Be1 0.0000 0.0000 0.0000
Be2 0.2028 0.5000 0.9505
Hg1 0.2660 0.0000 0.3336
P1 0.4018 0.0000 0.7940
```

calculated formation energy	157	meV per atom
ΔE to the lowest computed polymorph	0.0347	eV/atom

***

Entry from the Alexandria database: a geometry-optimized In4SnPb15 structure (PBE).

The structure in CIF format:
```
data_In4SnPb15
_cell_length_a 5.0002
_cell_length_b 5.0002
_cell_length_c 24.4984
_cell_angle_alpha 90.00
_cell_angle_beta 90.00
_cell_angle_gamma 90.00
_symmetry_space_group_name_H-M 'P 4/m m m'
_symmetry_Int_Tables_number 123
_symmetry_space_group_name_Hall '-P 4 2'
loop_
_atom_site_label
_atom_site_fract_x
_atom_site_fract_y
_atom_site_fract_z
In1 0.0000 0.0000 0.1003
In2 0.0000 0.0000 0.2994
Sn1 0.0000 0.0000 0.5000
Pb1 0.0000 0.5000 0.0000
Pb2 0.0000 0.5000 0.1998
Pb3 0.0000 0.5000 0.3999
Pb4 0.5000 0.5000 0.0999
Pb5 0.5000 0.5000 0.3009
Pb6 0.5000 0.5000 0.5000
```

calculated formation energy	25	meV per atom

***

Entry from the Alexandria database: a geometry-optimized CaAcGaO4 structure (PBE).

The structure in CIF format:
```
data_CaAcGaO4
_cell_length_a 6.6531
_cell_length_b 6.9590
_cell_length_c 9.4752
_cell_angle_alpha 90.00
_cell_angle_beta 90.00
_cell_angle_gamma 90.00
_symmetry_space_group_name_H-M 'I m m a'
_symmetry_Int_Tables_number 74
_symmetry_space_group_name_Hall '-I 2b 2'
loop_
_atom_site_label
_atom_site_fract_x
_atom_site_fract_y
_atom_site_fract_z
Ca1 0.2500 0.2500 0.2500
Ac1 0.0000 0.0000 0.0000
Ga1 0.0000 0.2500 0.6245
O1 0.0000 0.0136 0.7384
O2 0.2328 0.2500 0.5015
```

formation energy (no corrections)	-2469	meV per atom

***

Entry from the Alexandria database: a geometry-optimized TbTm3In3 structure (PBE).

The structure in CIF format:
```
data_TbTm3In3
_cell_length_a 9.2410
_cell_length_b 9.2410
_cell_length_c 5.1371
_cell_angle_alpha 90.00
_cell_angle_beta 90.00
_cell_angle_gamma 120.00
_symmetry_space_group_name_H-M 'P 63/m'
_symmetry_Int_Tables_number 176
_symmetry_space_group_name_Hall '-P 6c'
loop_
_atom_site_label
_atom_site_fract_x
_atom_site_fract_y
_atom_site_fract_z
Tb1 0.3333 0.6667 0.2500
Tm1 0.0040 0.7728 0.2500
In1 0.0724 0.6186 0.7500
```

calculated formation energy	-336	meV per atom
ΔE to the lowest computed polymorph	0.0000	eV/atom

***

Entry from the Alexandria database: a geometry-optimized Mg2Sc8Tc structure (PBE).

The structure in CIF format:
```
data_Mg2Sc8Tc
_cell_length_a 16.8524
_cell_length_b 5.0239
_cell_length_c 5.9395
_cell_angle_alpha 90.00
_cell_angle_beta 90.01
_cell_angle_gamma 90.00
_symmetry_space_group_name_H-M 'C 1 2/m 1'
_symmetry_Int_Tables_number 12
loop_
_symmetry_equiv_pos_as_xyz
'x,y,z'
'-x,-y,-z'
'-x,y,-z'
'x,-y,z'
'x+1/2,y+1/2,z'
'-x+1/2,-y+1/2,-z'
'-x+1/2,y+1/2,-z'
'x+1/2,-y+1/2,z'
loop_
_atom_site_label
_atom_site_fract_x
_atom_site_fract_y
_atom_site_fract_z
Mg1 0.2326 0.0000 0.3347
Sc1 0.0355 0.0000 0.2400
Sc2 0.0791 0.5000 0.6136
Sc3 0.1518 0.5000 0.1199
Sc4 0.1579 0.0000 0.8170
Tc1 0.0000 0.5000 0.0000
```

calculated formation energy	-48	meV per atom

***

Entry from the Alexandria database: a geometry-optimized InPRu4 structure (PBE).

The structure in CIF format:
```
data_InPRu4
_cell_length_a 7.3004
_cell_length_b 7.3004
_cell_length_c 7.3004
_cell_angle_alpha 90.00
_cell_angle_beta 90.00
_cell_angle_gamma 90.00
_symmetry_space_group_name_H-M 'F -4 3 m'
_symmetry_Int_Tables_number 216
_symmetry_space_group_name_Hall 'F -4 2 3'
loop_
_atom_site_label
_atom_site_fract_x
_atom_site_fract_y
_atom_site_fract_z
In1 0.0000 0.0000 0.0000
P1 0.2500 0.2500 0.7500
Ru1 0.1243 0.1243 0.3757
```

calculated formation energy	621	meV per atom

***

Entry from the Alexandria database: a geometry-optimized HfCuAg2P structure (PBE).

The structure in CIF format:
```
data_HfCuAg2P
_cell_length_a 4.7389
_cell_length_b 4.7389
_cell_length_c 4.2839
_cell_angle_alpha 90.00
_cell_angle_beta 90.00
_cell_angle_gamma 90.00
_symmetry_space_group_name_H-M 'P 4/m m m'
_symmetry_Int_Tables_number 123
_symmetry_space_group_name_Hall '-P 4 2'
loop_
_atom_site_label
_atom_site_fract_x
_atom_site_fract_y
_atom_site_fract_z
Hf1 0.0000 0.0000 0.0000
Cu1 0.5000 0.5000 0.5000
Ag1 0.0000 0.5000 0.5000
P1 0.5000 0.5000 0.0000
```

calculated formation energy	545	meV per atom

***

Number 1: uncorrected energy -4.094 eV/atom. Number 2: uncorrected energy -5.138 eV/atom. Number 3: uncorrected energy -5.932 eV/atom. Number 4: uncorrected energy -4.592 eV/atom. Number 5: uncorrected energy -3.134 eV/atom. Number 6: uncorrected energy -3.504 eV/atom. Number 7: uncorrected energy -6.607 eV/atom. Number 8: uncorrected energy -4.087 eV/atom. Number 9: uncorrected energy -5.885 eV/atom. Number 10: uncorrected energy -6.921 eV/atom. Number 11: uncorrected energy -4.487 eV/atom.